## NaTiB3 (PBE)

Data for a relaxed NaTiB3 crystal.

The energy above the most stable polymorph in this dataset comes out at 1.0329 eV per atom.

Cell: 4.0373 4.0373 4.0373 Å, 90.00 90.00 90.00°
Last column: nearest neighbours and their distance in Å.
Space group Pm-3m (No. 221)
Asymmetric unit:
1 Na 0.0000 0.0000 0.0000 x1  6 B 2.02
2 Ti 0.5000 0.5000 0.5000 x1  12 B 2.85
3 B 0.0000 0.0000 0.5000 x3  2 Na 2.02